Material: Cu2BBr
Method: DFT, SCAN
State: single point on PBEsol structure

Results
The value obtained for the uncorrected formation energy is 1313 meV/atom. The electronic total energy comes out at -13.01 eV per atom.

```
data_Cu2BBr
_symmetry_space_group_name_H-M 'F m -3 m'
_symmetry_Int_Tables_number 225
_symmetry_space_group_name_Hall '-F 4 2 3'
_cell_length_a 6.026
_cell_length_b 6.026
_cell_length_c 6.026
_cell_angle_alpha 90.00
_cell_angle_beta 90.00
_cell_angle_gamma 90.00
loop_
_atom_site_label
_atom_site_type_symbol
_atom_site_fract_x
_atom_site_fract_y
_atom_site_fract_z
Cu1 Cu 0.250 0.250 0.250
B1 B 0.000 0.000 0.000
Br1 Br 0.000 0.000 0.500
```

=====

Material: Cu3B7BrO13
Method: DFT, SCAN
State: single point on PBEsol structure

Results
The value obtained for the uncorrected formation energy is -2135 meV/atom. The electronic total energy comes out at -10.39 eV per atom.

```
data_Cu3B7BrO13
_symmetry_space_group_name_H-M 'F -4 3 c'
_symmetry_Int_Tables_number 219
_symmetry_space_group_name_Hall 'F -4a 2 3'
_cell_length_a 11.949
_cell_length_b 11.949
_cell_length_c 11.949
_cell_angle_alpha 90.00
_cell_angle_beta 90.00
_cell_angle_gamma 90.00
loop_
_atom_site_label
_atom_site_type_symbol
_atom_site_fract_x
_atom_site_fract_y
_atom_site_fract_z
Cu1 Cu 0.000 0.000 0.250
B1 B 0.000 0.250 0.250
B2 B 0.169 0.169 0.331
Br1 Br 0.000 0.000 0.000
O1 O 0.070 0.151 0.267
O2 O 0.250 0.250 0.250
```

=====

Material: BHBrF2
Method: DFT, SCAN
State: single point on PBEsol structure

Results
The electronic total energy comes out at -7.13 eV per atom.

```
data_BHBrF2
_symmetry_space_group_name_H-M 'P 4/m m m'
_symmetry_Int_Tables_number 123
_symmetry_space_group_name_Hall '-P 4 2'
_cell_length_a 3.186
_cell_length_b 3.186
_cell_length_c 5.072
_cell_angle_alpha 90.00
_cell_angle_beta 90.00
_cell_angle_gamma 90.00
loop_
_atom_site_label
_atom_site_type_symbol
_atom_site_fract_x
_atom_site_fract_y
_atom_site_fract_z
B1 B 0.000 0.000 0.000
H1 H 0.000 0.000 0.500
Br1 Br 0.500 0.500 0.000
F1 F 0.000 0.500 0.500
```

=====

Material: Fe3B7BrO13
Method: DFT, SCAN
State: single point on PBEsol structure

Results
The value obtained for the uncorrected formation energy is -2241 meV/atom. The electronic total energy comes out at -10.86 eV per atom.

```
data_Fe3B7BrO13
_symmetry_space_group_name_H-M 'F -4 3 c'
_symmetry_Int_Tables_number 219
_symmetry_space_group_name_Hall 'F -4a 2 3'
_cell_length_a 12.111
_cell_length_b 12.111
_cell_length_c 12.111
_cell_angle_alpha 90.00
_cell_angle_beta 90.00
_cell_angle_gamma 90.00
loop_
_atom_site_label
_atom_site_type_symbol
_atom_site_fract_x
_atom_site_fract_y
_atom_site_fract_z
Fe1 Fe 0.000 0.000 0.250
B1 B 0.000 0.250 0.250
B2 B 0.170 0.170 0.330
Br1 Br 0.000 0.000 0.000
O1 O 0.070 0.153 0.269
O2 O 0.250 0.250 0.250
```

=====

Material: FeB2PBr
Method: DFT, SCAN
State: single point on PBEsol structure

Results
The value obtained for the uncorrected formation energy is 2335 meV/atom. The electronic total energy comes out at -10.23 eV per atom.

```
data_FeB2PBr
_symmetry_space_group_name_H-M 'P 4/m m m'
_symmetry_Int_Tables_number 123
_symmetry_space_group_name_Hall '-P 4 2'
_cell_length_a 4.046
_cell_length_b 4.046
_cell_length_c 4.509
_cell_angle_alpha 90.00
_cell_angle_beta 90.00
_cell_angle_gamma 90.00
loop_
_atom_site_label
_atom_site_type_symbol
_atom_site_fract_x
_atom_site_fract_y
_atom_site_fract_z
Fe1 Fe 0.000 0.000 0.000
B1 B 0.000 0.500 0.500
P1 P 0.500 0.500 0.000
Br1 Br 0.000 0.000 0.500
```

=====

Material: FeBSe2Br
Method: DFT, SCAN
State: single point on PBEsol structure

Results
The value obtained for the uncorrected formation energy is 879 meV/atom. The electronic total energy comes out at -16.16 eV per atom.

```
data_FeBSe2Br
_symmetry_space_group_name_H-M 'P 4/m m m'
_symmetry_Int_Tables_number 123
_symmetry_space_group_name_Hall '-P 4 2'
_cell_length_a 4.395
_cell_length_b 4.395
_cell_length_c 4.591
_cell_angle_alpha 90.00
_cell_angle_beta 90.00
_cell_angle_gamma 90.00
loop_
_atom_site_label
_atom_site_type_symbol
_atom_site_fract_x
_atom_site_fract_y
_atom_site_fract_z
Fe1 Fe 0.000 0.000 0.000
B1 B 0.500 0.500 0.500
Se1 Se 0.000 0.500 0.500
Br1 Br 0.500 0.500 0.000
```

=====

no.,volume (Å³/atom)
1,13.7
2,8.9
3,10.3
4,9.3
5,14.8
6,17.7